Record 1
Here is crystalline Zn2SbPbO8 at its relaxed geometry from Alexandria. Energies are from PBE.

```
Zn2SbPbO8
1.0
-3.339 3.339 3.470
3.339 -3.339 3.470
3.339 3.339 -3.470
Zn Sb Pb O
2 1 1 8
Cartesian
0.000 0.000 0.000
0.000 3.339 1.735
0.000 0.000 3.470
3.339 0.000 1.735
3.339 1.354 -0.361
2.170 3.339 -1.957
1.169 0.000 1.513
1.354 3.339 0.361
1.985 0.000 3.832
3.339 2.170 1.957
0.000 1.985 3.109
0.000 1.169 5.428
```

Record 2
Here is crystalline Zn4Sb3PbO12 at its relaxed geometry from Alexandria. Energies are from PBE.

```
Zn4Sb3PbO12
1.0
5.675 3.276 2.516
-5.675 3.276 2.516
0.000 -6.553 2.516
Zn Sb Pb O
4 3 1 12
Cartesian
0.000 0.000 0.000
-2.470 -2.275 2.516
-0.735 3.276 2.516
3.205 -1.002 2.516
-4.981 0.000 3.775
2.491 -4.314 3.775
2.491 4.314 3.775
0.000 0.000 3.775
-3.438 -0.598 2.516
-4.717 1.617 2.516
-0.557 -2.209 2.388
0.958 -4.893 2.516
-1.635 1.587 2.388
2.237 -2.679 2.516
-1.635 -1.587 5.161
2.192 0.622 2.388
1.201 3.276 2.516
-0.557 2.209 5.161
3.758 3.276 2.516
2.192 -0.622 5.161
```

Record 3
Here is crystalline ZnSbPb2O6 at its relaxed geometry from Alexandria. Energies are from PBE.

```
ZnSbPb2O6
1.0
5.702 0.000 0.000
0.000 5.816 0.000
-5.672 0.000 8.073
Zn Sb Pb O
2 2 4 12
Cartesian
0.000 0.000 0.000
-2.836 2.908 4.036
0.015 0.000 4.036
2.851 2.908 0.000
-2.870 0.246 6.042
-0.034 2.662 2.006
0.065 3.154 6.067
2.901 5.570 2.031
-1.626 1.146 3.713
-4.462 1.762 7.749
-1.096 4.163 3.673
-3.932 4.560 7.709
0.498 0.162 2.072
-2.338 2.746 6.108
2.368 3.070 1.964
-0.468 5.654 6.001
3.963 1.255 0.364
1.127 1.653 4.400
4.492 4.054 0.323
1.656 4.670 4.360
```

Number 1: formation energy (no corrections) -0.68 eV/atom. Number 2: formation energy (no corrections) -1.31 eV/atom. Number 3: formation energy (no corrections) -1.18 eV/atom.